Record 1
A plane-wave DFT calculation with PBE-GGA was carried out for a relaxed structure of SrHfAs2Br.

Output
- energy above the most stable polymorph in this dataset (meV per atom) = 0
- raw formation energy (meV per atom) = -843
- size of the total moment (μB/cell) = 0.000

Unit cell a=5.181 b=5.181 c=5.367 alpha=90.00 beta=90.00 gamma=90.00
Element x y z (fractional)
Sr  0.500  0.500  0.500
As  0.000  0.500  0.000
As  0.500  0.000  0.000
Hf  0.000  0.000  0.000
Br  0.000  0.000  0.500



Record 2
A plane-wave DFT calculation with PBE-GGA was carried out for a relaxed structure of HfTaAsBr2.

Output
- energy above the most stable polymorph in this dataset (meV per atom) = 25
- raw formation energy (meV per atom) = 679
- size of the total moment (μB/cell) = 3.515

Unit cell a=5.080 b=5.080 c=5.385 alpha=90.00 beta=90.00 gamma=90.00
Each line ends with the local moment (μB).
Element x y z (fractional)
As  0.000  0.000  0.500  -0.08
Hf  0.000  0.000  0.000  0.05
Br  0.000  0.500  0.000  0.02
Br  0.500  0.000  0.000  0.02
Ta  0.500  0.500  0.500  2.25